[1]
First-principles (PBE) data for MgFe after structural relaxation, as listed in Alexandria.

## Properties
The value obtained for the energy relative to the elements is 500.8 meV per atom.

a = 4.5514 Å, b = 4.5514 Å, c = 7.2618 Å
α = 90.00°, β = 90.00°, γ = 120.00°
Space group P6_3/mmc (No. 194)
Inequivalent atoms, fractional coordinates:
Mg 0.0000 0.0000 0.2500 (multiplicity 2)
Mg 0.3333 0.6667 0.2500 (multiplicity 2)
Fe 0.3333 0.6667 0.5927 (multiplicity 4)

***

[2]
First-principles (PBE) data for Ce2CoIr3 after structural relaxation, as listed in Alexandria.

## Properties
The value obtained for the energy relative to the elements is -678.1 meV per atom.

a = 5.4086 Å, b = 5.4086 Å, c = 12.4876 Å
α = 90.00°, β = 90.00°, γ = 120.00°
Space group R-3m (No. 166, hexagonal axes)
Inequivalent atoms, fractional coordinates:
Ce 0.0000 0.0000 0.1249 (multiplicity 6)
Co 0.0000 0.0000 0.5000 (multiplicity 3)
Ir 0.0000 0.5000 0.0000 (multiplicity 9)